Record 1
Sc3CdSb | PBEsol | optimized geometry

final energy	-4.99	eV per atom

Cell lengths 5.2553, 5.2553, 5.2553 Å; angles 90.00, 90.00, 90.00 degrees
Last column: nearest neighbours and their distance in Å.
Fractional coordinates of all 5 atoms:
Sc 0.0000 0.0000 0.5000  2 Sb 2.63
Sc 0.0000 0.5000 0.0000  2 Sb 2.63
Sc 0.5000 0.0000 0.0000  2 Sb 2.63
Cd 0.5000 0.5000 0.5000  12 Sc 3.72
Sb 0.0000 0.0000 0.0000  6 Sc 2.63

Record 2
KLuO2 | PBEsol | optimized geometry

final energy	-7.02	eV per atom

Cell lengths 6.4242, 6.4242, 6.4242 Å; angles 30.12, 30.12, 30.12 degrees
Last column: nearest neighbours and their distance in Å.
Fractional coordinates of all 4 atoms:
K 0.0000 0.0000 0.0000  6 O 2.74
Lu 0.5000 0.5000 0.5000  6 O 2.23
O 0.2275 0.2275 0.2275  3 Lu 2.23
O 0.7725 0.7725 0.7725  3 Lu 2.23

Record 3
KLi5 | PBEsol | optimized geometry

final energy	-1.72	eV per atom
ΔE to the lowest computed polymorph	0.0249	eV per atom

Cell lengths 6.8126, 6.8126, 5.0265 Å; angles 90.00, 90.00, 135.49 degrees
Last column: nearest neighbours and their distance in Å.
Fractional coordinates of all 6 atoms:
K 0.0000 0.0000 0.0000  12 Li 3.45-3.60
Li 0.1956 0.8044 0.5000  4 Li 2.92-2.95
Li 0.3184 0.6816 0.0000  4 Li 2.95-3.10
Li 0.5000 0.5000 0.5000  8 Li 3.40-3.57, 4 K 3.60
Li 0.6816 0.3184 0.0000  4 Li 2.95-3.10
Li 0.8044 0.1956 0.5000  4 Li 2.92-2.95

Record 4
Mg2InHgC | PBEsol | optimized geometry

final energy	-1.72	eV per atom

Cell lengths 5.3622, 5.3622, 5.3624 Å; angles 90.00, 90.00, 90.00 degrees
Last column: nearest neighbours and their distance in Å.
Fractional coordinates of all 5 atoms:
Mg 0.0000 0.5000 0.0000  2 In 2.68
Mg 0.5000 0.0000 0.0000  2 In 2.68
In 0.0000 0.0000 0.0000  4 Mg 2.68, 2 Hg 2.68
Hg 0.0000 0.0000 0.5000  2 In 2.68
C 0.5000 0.5000 0.5000  4 Hg 3.79, 8 Mg 3.79

Record 5
La2ZnCu | PBEsol | optimized geometry

final energy	-4.32	eV per atom

Cell lengths 6.0258, 6.0258, 6.0258 Å; angles 144.57, 133.40, 59.88 degrees
Last column: nearest neighbours and their distance in Å.
Fractional coordinates of all 4 atoms:
La 0.0000 0.0000 0.0000  4 Cu 3.07, 2 La 3.15, 4 Zn 3.32-3.44
La 0.6969 0.1969 0.5000  4 Zn 3.13, 2 La 3.15, 4 Cu 3.25-3.48
Zn 0.2786 0.7786 0.5000  2 Cu 2.49
Cu 0.4402 0.4402 0.0000  2 Zn 2.49

Record 6
SrMn2FeN | PBEsol | optimized geometry

final energy	-6.29	eV per atom

Cell lengths 4.0699, 4.0699, 6.1066 Å; angles 90.00, 90.00, 90.00 degrees
Last column: nearest neighbours and their distance in Å.
Fractional coordinates of all 5 atoms:
Sr 0.0000 0.0000 0.0000  4 N 2.88, 2 Fe 3.05
Mn 0.0000 0.5000 0.5000  2 Fe 2.03
Mn 0.5000 0.0000 0.5000  2 Fe 2.03
Fe 0.0000 0.0000 0.5000  4 Mn 2.03
N 0.5000 0.5000 0.0000  4 Sr 2.88

Record 7
In5Ag | PBEsol | optimized geometry

final energy	-3.01	eV per atom
ΔE to the lowest computed polymorph	0.0276	eV per atom

Cell lengths 7.2128, 7.2128, 4.5140 Å; angles 90.00, 90.00, 143.51 degrees
Last column: nearest neighbours and their distance in Å.
Fractional coordinates of all 6 atoms:
In 0.0000 0.0000 0.0000  8 In 3.14-3.15, 4 Ag 3.19
In 0.1597 0.8403 0.5000  10 In 3.14-3.35, 2 Ag 3.14
In 0.3402 0.6598 0.0000  2 Ag 3.14, 10 In 3.15-3.35
In 0.6598 0.3402 0.0000  2 Ag 3.14, 10 In 3.15-3.35
In 0.8403 0.1597 0.5000  10 In 3.14-3.35, 2 Ag 3.14
Ag 0.5000 0.5000 0.5000  12 In 3.14-3.19

Record 8
TlSb2Cl | PBEsol | optimized geometry

final energy	-3.45	eV per atom
ΔE to the lowest computed polymorph	0.0000	eV per atom

Cell lengths 6.4305, 6.4305, 3.1513 Å; angles 90.00, 90.00, 125.27 degrees
Last column: nearest neighbours and their distance in Å.
Fractional coordinates of all 4 atoms:
Tl 0.0000 0.0000 0.0000  2 Cl 2.96, 2 Tl 3.15
Sb 0.0000 0.5000 0.5000  4 Sb 2.96-3.15
Sb 0.5000 0.0000 0.5000  4 Sb 2.96-3.15
Cl 0.5000 0.5000 0.0000  2 Tl 2.96, 2 Cl 3.15

Record 9
BiPdSeN2 | PBEsol | optimized geometry

final energy	-5.11	eV per atom

Cell lengths 4.0609, 4.0609, 5.0192 Å; angles 90.00, 90.00, 90.00 degrees
Last column: nearest neighbours and their distance in Å.
Fractional coordinates of all 5 atoms:
Bi 0.0000 0.0000 0.0000  4 Se 2.87
Pd 0.5000 0.5000 0.5000  4 N 2.03
Se 0.5000 0.5000 0.0000  2 Pd 2.51
N 0.0000 0.5000 0.5000  2 Pd 2.03
N 0.5000 0.0000 0.5000  2 Pd 2.03

Record 10
Nd3SnN | PBEsol | optimized geometry

final energy	-6.71	eV per atom

Cell lengths 4.9447, 4.9447, 4.9447 Å; angles 90.00, 90.00, 90.00 degrees
Last column: nearest neighbours and their distance in Å.
Fractional coordinates of all 5 atoms:
Nd 0.0000 0.0000 0.5000  2 N 2.47
Nd 0.0000 0.5000 0.0000  2 N 2.47
Nd 0.5000 0.0000 0.0000  2 N 2.47
Sn 0.5000 0.5000 0.5000  12 Nd 3.50
N 0.0000 0.0000 0.0000  6 Nd 2.47

Record 11
Te2HPt | PBEsol | optimized geometry

final energy	-3.91	eV per atom
ΔE to the lowest computed polymorph	0.4537	eV per atom

Cell lengths 4.6553, 4.6553, 4.6553 Å; angles 60.00, 60.00, 60.00 degrees
Last column: nearest neighbours and their distance in Å.
Fractional coordinates of all 4 atoms:
Te 0.2500 0.2500 0.2500  4 Pt 2.85, 4 H 2.85
Te 0.7500 0.7500 0.7500  4 H 2.85, 4 Pt 2.85
H 0.0000 0.0000 0.0000  8 Te 2.85
Pt 0.5000 0.5000 0.5000  8 Te 2.85

Record 12
RbTcNi2Ge | PBEsol | optimized geometry

final energy	-4.90	eV per atom

Cell lengths 4.5160, 4.5160, 4.7164 Å; angles 90.00, 90.00, 90.00 degrees
Last column: nearest neighbours and their distance in Å.
Fractional coordinates of all 5 atoms:
Rb 0.0000 0.0000 0.0000  4 Tc 3.19, 8 Ni 3.26
Tc 0.5000 0.5000 0.0000  2 Ge 2.36
Ni 0.0000 0.5000 0.5000  2 Ge 2.26
Ni 0.5000 0.0000 0.5000  2 Ge 2.26
Ge 0.5000 0.5000 0.5000  4 Ni 2.26, 2 Tc 2.36

Record 13
InIr2AuN | PBEsol | optimized geometry

final energy	-6.50	eV per atom

Cell lengths 3.9671, 3.9671, 4.8857 Å; angles 90.00, 90.00, 90.00 degrees
Last column: nearest neighbours and their distance in Å.
Fractional coordinates of all 5 atoms:
In 0.0000 0.0000 0.0000  2 N 2.44
Ir 0.0000 0.5000 0.5000  2 N 1.98
Ir 0.5000 0.0000 0.5000  2 N 1.98
Au 0.5000 0.5000 0.0000  4 In 2.81
N 0.0000 0.0000 0.5000  4 Ir 1.98

Record 14
YFe2Ni2 | PBEsol | optimized geometry

final energy	-7.47	eV per atom

Cell lengths 5.7375, 5.7375, 5.7375 Å; angles 141.58, 141.58, 55.47 degrees
Last column: nearest neighbours and their distance in Å.
Fractional coordinates of all 5 atoms:
Y 0.0000 0.0000 0.0000  8 Ni 2.91, 8 Fe 3.16
Fe 0.2500 0.7500 0.5000  4 Ni 2.34
Fe 0.7500 0.2500 0.5000  4 Ni 2.34
Ni 0.3867 0.3867 0.0000  1 Ni 2.30, 4 Fe 2.34
Ni 0.6133 0.6133 0.0000  1 Ni 2.30, 4 Fe 2.34

Record 15
RbZn3As | PBEsol | optimized geometry

final energy	-0.79	eV per atom
ΔE to the lowest computed polymorph	1.0634	eV per atom

Cell lengths 6.0691, 6.0691, 6.0691 Å; angles 90.00, 90.00, 90.00 degrees
Last column: nearest neighbours and their distance in Å.
Fractional coordinates of all 5 atoms:
Rb 0.0000 0.0000 0.0000  6 Zn 3.03
Zn 0.0000 0.0000 0.5000  2 Rb 3.03
Zn 0.0000 0.5000 0.0000  2 Rb 3.03
Zn 0.5000 0.0000 0.0000  2 Rb 3.03
As 0.5000 0.5000 0.5000  12 Zn 4.29

Record 16
CrCuF2 | PBEsol | optimized geometry

final energy	-5.43	eV per atom

Cell lengths 7.3373, 7.3373, 7.3373 Å; angles 20.12, 20.12, 20.12 degrees
Last column: nearest neighbours and their distance in Å.
Fractional coordinates of all 4 atoms:
Cr 0.0000 0.0000 0.0000  2 F 1.85
Cu 0.5000 0.5000 0.5000  6 F 2.28
F 0.0860 0.0860 0.0860  1 Cr 1.85
F 0.9140 0.9140 0.9140  1 Cr 1.85

Record 17
Hf3BrF | PBEsol | optimized geometry

final energy	-6.28	eV per atom

Cell lengths 4.8800, 4.8800, 4.8800 Å; angles 90.00, 90.00, 90.00 degrees
Last column: nearest neighbours and their distance in Å.
Fractional coordinates of all 5 atoms:
Hf 0.0000 0.0000 0.5000  2 Br 2.44
Hf 0.0000 0.5000 0.0000  2 Br 2.44
Hf 0.5000 0.0000 0.0000  2 Br 2.44
Br 0.0000 0.0000 0.0000  6 Hf 2.44
F 0.5000 0.5000 0.5000  12 Hf 3.45

Record 18
CrInSb | PBEsol | optimized geometry

final energy	-5.55	eV per atom
ΔE to the lowest computed polymorph	0.0524	eV per atom

Cell lengths 3.2202, 3.2202, 6.5399 Å; angles 90.00, 90.00, 120.00 degrees
Last column: nearest neighbours and their distance in Å.
Fractional coordinates of all 3 atoms:
Cr 0.0000 0.0000 0.0000  3 Sb 2.58, 3 In 2.74
In 0.3333 0.6667 0.6923  3 Cr 2.74
Sb 0.6667 0.3333 0.2739  3 Cr 2.58

Record 19
Rb2EuF5 | PBEsol | optimized geometry

final energy	-5.99	eV per atom

Cell lengths 11.2336, 7.5282, 6.8011 Å; angles 90.00, 90.00, 90.00 degrees
Last column: nearest neighbours and their distance in Å.
Fractional coordinates of all 32 atoms:
Rb 0.1698 0.0026 0.0357  8 F 2.76-2.96
Rb 0.1698 0.4974 0.0357  8 F 2.76-2.96
Rb 0.3302 0.5026 0.5357  8 F 2.76-2.96
Rb 0.3302 0.9974 0.5357  8 F 2.76-2.96
Rb 0.6698 0.0026 0.4643  8 F 2.76-2.96
Rb 0.6698 0.4974 0.4643  8 F 2.76-2.96
Rb 0.8302 0.5026 0.9643  8 F 2.76-2.96
Rb 0.8302 0.9974 0.9643  8 F 2.76-2.96
Eu 0.0013 0.2500 0.5557  7 F 2.23-2.36
Eu 0.4987 0.7500 0.0557  7 F 2.23-2.36
Eu 0.5013 0.2500 0.9443  7 F 2.23-2.36
Eu 0.9987 0.7500 0.4443  7 F 2.23-2.36
F 0.0129 0.2500 0.8862  1 Eu 2.25
F 0.0759 0.5314 0.6448  2 Eu 2.31-2.36
F 0.0759 0.9686 0.6448  2 Eu 2.31-2.36
F 0.1661 0.2500 0.3735  1 Eu 2.23
F 0.1880 0.7500 0.3444  1 Eu 2.23
F 0.3120 0.2500 0.8444  1 Eu 2.23
F 0.3339 0.7500 0.8735  1 Eu 2.23
F 0.4241 0.0314 0.1448  2 Eu 2.31-2.36
F 0.4241 0.4686 0.1448  2 Eu 2.31-2.36
F 0.4871 0.7500 0.3862  1 Eu 2.25
F 0.5129 0.2500 0.6138  1 Eu 2.25
F 0.5759 0.5314 0.8552  2 Eu 2.31-2.36
F 0.5759 0.9686 0.8552  2 Eu 2.31-2.36
F 0.6661 0.2500 0.1265  1 Eu 2.23
F 0.6880 0.7500 0.1556  1 Eu 2.23
F 0.8120 0.2500 0.6556  1 Eu 2.23
F 0.8339 0.7500 0.6265  1 Eu 2.23
F 0.9241 0.0314 0.3552  2 Eu 2.31-2.36
F 0.9241 0.4686 0.3552  2 Eu 2.31-2.36
F 0.9871 0.7500 0.1138  1 Eu 2.25

Record 20
Sc7In | PBEsol | optimized geometry

final energy	-6.26	eV per atom

Cell lengths 6.3773, 6.3773, 6.3773 Å; angles 60.00, 60.00, 60.00 degrees
Last column: nearest neighbours and their distance in Å.
Fractional coordinates of all 8 atoms:
Sc 0.0000 0.0000 0.0000  12 Sc 3.19
Sc 0.0000 0.0000 0.5000  10 Sc 3.19, 2 In 3.19
Sc 0.0000 0.5000 0.0000  10 Sc 3.19, 2 In 3.19
Sc 0.0000 0.5000 0.5000  2 In 3.19, 10 Sc 3.19
Sc 0.5000 0.0000 0.0000  10 Sc 3.19, 2 In 3.19
Sc 0.5000 0.0000 0.5000  2 In 3.19, 10 Sc 3.19
Sc 0.5000 0.5000 0.0000  2 In 3.19, 10 Sc 3.19
In 0.5000 0.5000 0.5000  12 Sc 3.19

Record 21
EuIn2Ge4Ir4 | PBEsol | optimized geometry

final energy	-7.38	eV per atom

Cell lengths 6.5390, 6.5390, 6.5390 Å; angles 116.30, 116.30, 96.54 degrees
Last column: nearest neighbours and their distance in Å.
Fractional coordinates of all 11 atoms:
Eu 0.0000 0.0000 0.0000  8 Ge 3.20-3.54, 4 Ir 3.44, 4 In 3.45
In 0.0000 0.5000 0.5000  4 Ir 2.74, 4 Ge 3.04
In 0.5000 0.0000 0.5000  4 Ir 2.74, 4 Ge 3.04
Ge 0.1232 0.1232 0.6361  4 Ir 2.36-2.58
Ge 0.4871 0.4871 0.3639  4 Ir 2.36-2.58
Ge 0.5129 0.8768 0.0000  4 Ir 2.36-2.58
Ge 0.8768 0.5129 0.0000  4 Ir 2.36-2.58
Ir 0.2400 0.5587 0.0000  4 Ge 2.36-2.58
Ir 0.4413 0.4413 0.6813  4 Ge 2.36-2.58
Ir 0.5587 0.2400 0.0000  4 Ge 2.36-2.58
Ir 0.7600 0.7600 0.3187  4 Ge 2.36-2.58

Record 22
SrHgP2Cl | PBEsol | optimized geometry

final energy	-2.70	eV per atom

Cell lengths 6.0767, 6.0767, 5.4538 Å; angles 90.00, 90.00, 90.00 degrees
Last column: nearest neighbours and their distance in Å.
Fractional coordinates of all 5 atoms:
Sr 0.0000 0.0000 0.0000  2 Cl 2.73, 4 P 3.04
Hg 0.5000 0.5000 0.5000  8 P 4.08, 4 Cl 4.30
P 0.0000 0.5000 0.0000  2 Sr 3.04
P 0.5000 0.0000 0.0000  2 Sr 3.04
Cl 0.0000 0.0000 0.5000  2 Sr 2.73

Record 23
HfMgN2 | PBEsol | optimized geometry

final energy	-8.87	eV per atom

Cell lengths 6.3496, 4.3931, 7.3774 Å; angles 90.00, 90.00, 90.00 degrees
Last column: nearest neighbours and their distance in Å.
Fractional coordinates of all 16 atoms:
Hf 0.0873 0.2500 0.1302  5 N 2.06-2.20
Hf 0.4127 0.7500 0.6302  5 N 2.06-2.20
Hf 0.5873 0.2500 0.3698  5 N 2.06-2.20
Hf 0.9127 0.7500 0.8698  5 N 2.06-2.20
Mg 0.0782 0.2500 0.6189  5 N 2.12-2.20
Mg 0.4218 0.7500 0.1189  5 N 2.12-2.20
Mg 0.5782 0.2500 0.8811  5 N 2.12-2.20
Mg 0.9218 0.7500 0.3811  5 N 2.12-2.20
N 0.0788 0.7500 0.1147  3 Hf 2.09-2.20, 2 Mg 2.18-2.20
N 0.0850 0.7500 0.6325  2 Hf 2.06-2.08, 3 Mg 2.12-2.20
N 0.4150 0.2500 0.1325  2 Hf 2.06-2.08, 3 Mg 2.12-2.20
N 0.4212 0.2500 0.6147  3 Hf 2.09-2.20, 2 Mg 2.18-2.20
N 0.5788 0.7500 0.3853  3 Hf 2.09-2.20, 2 Mg 2.18-2.20
N 0.5850 0.7500 0.8675  2 Hf 2.06-2.08, 3 Mg 2.12-2.20
N 0.9150 0.2500 0.3675  2 Hf 2.06-2.08, 3 Mg 2.12-2.20
N 0.9212 0.2500 0.8853  3 Hf 2.09-2.20, 2 Mg 2.18-2.20

Record 24
LiInAu2O | PBEsol | optimized geometry

final energy	-2.71	eV per atom

Cell lengths 5.0458, 5.0458, 5.6911 Å; angles 90.00, 90.00, 90.00 degrees
Last column: nearest neighbours and their distance in Å.
Fractional coordinates of all 5 atoms:
Li 0.0000 0.0000 0.0000  2 In 2.85
In 0.0000 0.0000 0.5000  4 Au 2.52
Au 0.0000 0.5000 0.5000  2 In 2.52
Au 0.5000 0.0000 0.5000  2 In 2.52
O 0.5000 0.5000 0.0000  4 Li 3.57, 8 Au 3.80

Record 25
CuTc2Ni | PBEsol | optimized geometry

final energy	-7.97	eV per atom
ΔE to the lowest computed polymorph	0.1872	eV per atom

Cell lengths 3.1244, 3.1244, 5.0994 Å; angles 90.00, 90.00, 90.00 degrees
Last column: nearest neighbours and their distance in Å.
Fractional coordinates of all 4 atoms:
Cu 0.0000 0.0000 0.0000  2 Ni 2.55, 8 Tc 2.57
Tc 0.5000 0.5000 0.2574  2 Tc 2.47-2.63, 4 Ni 2.53, 4 Cu 2.57
Tc 0.5000 0.5000 0.7426  2 Tc 2.47-2.63, 4 Ni 2.53, 4 Cu 2.57
Ni 0.0000 0.0000 0.5000  8 Tc 2.53, 2 Cu 2.55

Record 26
Zr2AsRu | PBEsol | optimized geometry

final energy	-8.70	eV per atom

Cell lengths 3.1792, 3.1792, 7.0999 Å; angles 90.00, 90.00, 90.00 degrees
Last column: nearest neighbours and their distance in Å.
Fractional coordinates of all 4 atoms:
Zr 0.0000 0.0000 0.0000  4 Ru 2.80, 1 As 3.02
Zr 0.5000 0.5000 0.3117  4 As 2.92, 8 Zr 3.15-3.18, 1 Ru 3.21
As 0.0000 0.0000 0.5742  4 Ru 2.62, 4 Zr 2.92
Ru 0.5000 0.5000 0.7643  4 As 2.62, 4 Zr 2.80

Record 27
Re2HgMo | PBEsol | optimized geometry

final energy	-9.22	eV per atom

Cell lengths 2.8099, 2.8099, 8.1014 Å; angles 90.00, 90.00, 90.00 degrees
Last column: nearest neighbours and their distance in Å.
Fractional coordinates of all 4 atoms:
Re 0.0000 0.0000 0.2287  4 Mo 2.72, 4 Re 2.81, 4 Hg 2.96
Re 0.0000 0.0000 0.7713  4 Mo 2.72, 4 Re 2.81, 4 Hg 2.96
Hg 0.5000 0.5000 0.5000  4 Hg 2.81, 8 Re 2.96
Mo 0.5000 0.5000 0.0000  8 Re 2.72, 4 Mo 2.81